# 1
NaCaMg2Ir: relaxed, PBE-GGA.

a b c (Å): 5.8408 5.8408 4.9986
angles (deg): 90.00 90.00 90.00
With the nearest neighbours (Å) after each atom.
Atoms (fractional coordinates):
Na: 0.0000 0.0000 0.0000  8 Mg 3.84, 4 Ir 4.13
Ca: 0.5000 0.5000 0.5000  2 Ir 2.50
Mg: 0.0000 0.5000 0.5000  2 Ca 2.92
Mg: 0.5000 0.0000 0.5000  2 Ca 2.92
Ir: 0.5000 0.5000 0.0000  2 Ca 2.50

Summary:
size of the total moment = 0.00 μB/atom
mass density = 3.0 Mg/m³
ΔH_f (0 K) = 0.92 eV per atom
energy above the most stable polymorph in this dataset = 1.038 eV/atom
DFT total energy = -2.151 eV per atom
D(E_F) = 0.449 states/eV per atom
crystal system = tetragonal

***

# 2
NaCaMgIr: relaxed, PBE-GGA.

a b c (Å): 4.8974 4.8974 4.8974
angles (deg): 60.00 60.00 60.00
With the nearest neighbours (Å) after each atom.
Atoms (fractional coordinates):
Na: 0.0000 0.0000 0.0000  4 Mg 3.00, 4 Ca 3.00
Ca: 0.2500 0.2500 0.2500  4 Na 3.00, 4 Ir 3.00
Mg: 0.7500 0.7500 0.7500  4 Ir 3.00, 4 Na 3.00
Ir: 0.5000 0.5000 0.5000  4 Mg 3.00, 4 Ca 3.00

Summary:
size of the total moment = 0.00 μB/atom
mass density = 5.6 Mg/m³
ΔH_f (0 K) = -0.09 eV per atom
DFT total energy = -3.533 eV per atom
D(E_F) = 0.289 states/eV per atom
crystal system = cubic

***

# 3
CaNdMgIr: relaxed, PBE-GGA.

a b c (Å): 5.1294 5.1294 5.1294
angles (deg): 60.00 60.00 60.00
With the nearest neighbours (Å) after each atom.
Atoms (fractional coordinates):
Ca: 0.0000 0.0000 0.0000  4 Mg 3.14, 4 Ir 3.14
Nd: 0.5000 0.5000 0.5000  4 Mg 3.14, 4 Ir 3.14
Mg: 0.7500 0.7500 0.7500  4 Nd 3.14, 4 Ca 3.14
Ir: 0.2500 0.2500 0.2500  4 Ca 3.14, 4 Nd 3.14

Summary:
size of the total moment = 0.00 μB/atom
mass density = 7.0 Mg/m³
ΔH_f (0 K) = -0.23 eV per atom
DFT total energy = -4.537 eV per atom
D(E_F) = 1.125 states/eV per atom
crystal system = cubic

***

# 4
CaMg2IrOs: relaxed, PBE-GGA.

a b c (Å): 4.8910 4.8910 5.0835
angles (deg): 90.00 90.00 90.00
With the nearest neighbours (Å) after each atom.
Atoms (fractional coordinates):
Ca: 0.0000 0.0000 0.0000  2 Os 2.54
Mg: 0.0000 0.5000 0.5000  2 Os 2.45
Mg: 0.5000 0.0000 0.5000  2 Os 2.45
Ir: 0.5000 0.5000 0.0000  4 Ca 3.46, 8 Mg 3.53
Os: 0.0000 0.0000 0.5000  4 Mg 2.45, 2 Ca 2.54

Summary:
size of the total moment = 0.17 μB/atom
mass density = 6.4 Mg/m³
ΔH_f (0 K) = 1.13 eV per atom
DFT total energy = -3.927 eV per atom
D(E_F) = 1.401 states/eV per atom
crystal system = tetragonal

***

# 5
CaMgIrPb2: relaxed, PBE-GGA.

a b c (Å): 5.3178 5.3178 5.4208
angles (deg): 90.00 90.00 90.00
With the nearest neighbours (Å) after each atom.
Atoms (fractional coordinates):
Ca: 0.0000 0.0000 0.0000  2 Ir 2.71
Mg: 0.5000 0.5000 0.0000  4 Ca 3.76, 8 Pb 3.80
Ir: 0.0000 0.0000 0.5000  4 Pb 2.66, 2 Ca 2.71
Pb: 0.0000 0.5000 0.5000  2 Ir 2.66
Pb: 0.5000 0.0000 0.5000  2 Ir 2.66

Summary:
size of the total moment = 0.00 μB/atom
mass density = 7.3 Mg/m³
ΔH_f (0 K) = 0.05 eV per atom
DFT total energy = -3.927 eV per atom
D(E_F) = 0.620 states/eV per atom
crystal system = tetragonal

***

# 6
RbCaMg2Ir: relaxed, PBE-GGA.

a b c (Å): 5.3001 5.3001 5.4784
angles (deg): 90.00 90.00 90.00
With the nearest neighbours (Å) after each atom.
Atoms (fractional coordinates):
Rb: 0.0000 0.0000 0.0000  4 Ca 3.75, 8 Mg 3.81
Ca: 0.5000 0.5000 0.0000  2 Ir 2.74
Mg: 0.0000 0.5000 0.5000  2 Ir 2.65
Mg: 0.5000 0.0000 0.5000  2 Ir 2.65
Ir: 0.5000 0.5000 0.5000  4 Mg 2.65, 2 Ca 2.74

Summary:
size of the total moment = 0.00 μB/atom
mass density = 4.0 Mg/m³
ΔH_f (0 K) = -0.07 eV per atom
DFT total energy = -3.074 eV per atom
D(E_F) = 0.606 states/eV per atom
crystal system = tetragonal